Nd5Sn2Sb | Alexandria | PBE | optimized geometry; volume = 32.18 A^3/atom; formation energy (no corrections) = -737 meV per atom
1.0
4.720 0.000 0.000
0.000 8.506 0.000
0.000 0.000 12.825
Sn Nd Sb
4 10 2
Cartesian
2.360 3.584 10.597
2.360 4.921 2.228
2.360 0.669 4.184
2.360 7.837 8.641
0.000 5.559 9.198
0.000 7.200 2.785
2.360 1.808 0.931
2.360 6.697 11.894
2.360 2.444 7.344
0.000 0.000 6.413
0.000 4.253 0.000
0.000 1.306 10.040
0.000 2.947 3.627
2.360 6.061 5.481
0.000 4.253 6.413
0.000 0.000 0.000


Ba8P3Br4Cl | Alexandria | PBE | optimized geometry; volume = 37.14 A^3/atom; formation energy (no corrections) = -1611 meV per atom
1.0
9.351 0.000 0.000
0.000 9.523 0.115
-4.676 -4.671 6.616
Ba P Cl Br
8 3 1 4
Cartesian
4.676 4.605 3.252
6.921 2.541 0.208
2.245 2.312 6.523
0.000 0.247 3.480
0.000 4.554 3.348
2.431 2.541 0.208
4.676 0.298 3.383
-2.245 2.312 6.523
4.676 4.762 0.058
-2.338 2.426 3.366
2.338 2.426 3.366
0.000 4.762 0.058
-2.338 -2.335 3.308
0.000 0.000 0.000
2.338 -2.335 3.308
4.676 0.000 0.000


Pm2PrIn9 | Alexandria | PBE | optimized geometry; volume = 26.13 A^3/atom; E_form = -5.6 eV per formula unit
1.0
4.711 0.000 0.000
0.000 4.711 0.000
0.000 0.000 14.131
In Pr Pm
9 1 2
Cartesian
0.000 2.355 11.751
0.000 2.355 7.065
2.355 0.000 7.065
2.355 0.000 11.751
2.355 2.355 4.717
0.000 2.355 2.380
2.355 0.000 2.380
2.355 2.355 0.000
2.355 2.355 9.414
0.000 0.000 0.000
0.000 0.000 4.723
0.000 0.000 9.408


Pr2ThSn2 | Alexandria | PBE | optimized geometry; volume = 31.70 A^3/atom; energy relative to the lowest polymorph listed for this composition = 0.073 eV/atom; E_form = -2.7 eV per formula unit
1.0
4.800 0.000 0.000
2.400 5.840 -0.054
2.400 1.512 5.641
Pr Sn Th
2 2 1
Cartesian
2.400 2.189 1.663
7.199 5.164 3.924
4.800 2.773 3.982
4.800 4.580 1.605
0.000 0.000 0.000


RbCaCl3 | Alexandria | PBE | optimized geometry; volume = 36.26 A^3/atom; formation energy (no corrections) = -2151 meV per atom
1.0
-3.713 7.486 20.426
-5.626 1.565 7.016
4.501 -5.414 -5.810
Ca Cl Rb
2 6 2
Cartesian
-6.864 4.197 14.259
2.026 -0.559 7.373
-3.371 1.374 8.508
-1.467 2.264 13.123
-0.133 0.555 8.913
1.998 -3.139 -0.886
-6.836 6.777 22.517
-4.705 3.083 12.718
-8.828 8.062 24.760
3.990 -4.424 -3.128


MoAs2 | Alexandria | PBE | optimized geometry; volume = 20.64 A^3/atom; E_form = 1.0 eV per formula unit
1.0
6.280 0.000 0.000
0.000 6.280 0.000
0.000 0.000 6.280
Mo As
4 8
Cartesian
0.000 3.140 3.140
0.000 0.000 0.000
3.140 0.000 3.140
3.140 3.140 0.000
0.726 3.866 0.726
0.726 5.554 3.866
5.554 2.414 5.554
3.866 3.866 2.414
3.866 5.554 5.554
2.414 2.414 3.866
5.554 0.726 2.414
2.414 0.726 0.726


CaAl2Re2 | Alexandria | PBE | optimized geometry; volume = 17.06 A^3/atom; E_form = 0.0 eV per formula unit
1.0
-0.584 -7.115 -3.557
7.271 -1.925 2.656
-1.085 -1.025 2.228
Ca Al Re
2 4 4
Cartesian
3.343 -4.520 -0.451
0.000 0.000 0.000
2.313 -1.836 0.282
4.373 -7.204 -1.184
0.834 -5.080 -1.931
5.853 -3.960 1.029
5.460 -6.640 1.218
3.924 -2.598 2.329
1.678 -7.466 -1.004
0.141 -3.425 0.107


GeIrSe2 | Alexandria | PBE | optimized geometry; volume = 23.34 A^3/atom; formation energy (no corrections) = -146 meV per atom
1.0
-2.281 -1.113 4.359
4.072 -5.470 -0.676
5.464 -0.984 4.017
Se Ir Ge
4 2 2
Cartesian
5.355 -4.978 6.066
2.025 -3.024 4.641
6.162 -5.422 2.905
-0.992 -0.981 3.585
4.221 -4.211 3.858
7.292 -6.289 4.933
4.892 -1.968 4.330
3.362 -3.646 1.691


Pm5Tm2Th4 | Alexandria | PBE | optimized geometry; volume = 33.31 A^3/atom; E_form = 2.2 eV per formula unit
1.0
6.505 0.033 1.674
2.347 6.066 1.677
-0.168 -0.118 9.241
Tm Pm Th
2 5 4
Cartesian
1.093 0.753 8.508
7.591 5.229 4.084
2.727 3.826 8.617
-0.084 -0.059 4.620
5.957 2.155 3.974
4.548 1.184 8.617
4.137 4.798 3.975
2.883 1.985 2.289
6.021 4.147 7.003
2.664 1.834 5.589
5.802 3.996 10.303


TcRu | Alexandria | PBE | optimized geometry; volume = 14.19 A^3/atom; energy relative to the lowest polymorph listed for this composition = 0.016 eV/atom; E_form = -0.1 eV per formula unit
1.0
2.747 0.000 0.000
0.000 4.758 0.000
0.000 0.000 4.344
Ru Tc
2 2
Cartesian
1.374 2.762 0.000
0.000 1.995 2.172
1.374 4.345 2.172
0.000 0.412 0.000


> What is the formula in the tenth record?

TcRu


> volume of number 4 (Pr2ThSn2)?

31.70 A^3/atom


> Among the records above, which one has the highest volume?

Ba8P3Br4Cl